## CaMgCu5 (PBE-GGA)

Data for a geometry-optimized CaMgCu5 structure.

Its crystal system is tetragonal. For the energy of formation, the calculation gives 0.34 kcal/mol of atoms. The calculation puts the offset from the most stable computed form at 146 meV/atom.

It has space group P4/mmm (No. 123), with a = 3.6089 Å, b = 3.6089 Å, c = 8.8695 Å, α = 90.00°, β = 90.00° and γ = 90.00°. The inequivalent atoms are Ca at (0.0000, 0.0000, 0.0000), Mg at (0.5000, 0.5000, 0.5000), Cu at (0.0000, 0.0000, 0.5000) and Cu at (0.0000, 0.5000, 0.2766).



## TbHfNi2 (PBE-GGA)

Data for a geometry-optimized TbHfNi2 structure.

Its crystal system is trigonal. For the energy of formation, the calculation gives -8.60 kcal/mol of atoms. The calculation puts the offset from the most stable computed form at 39 meV/atom.

It has space group R-3m (No. 166, hexagonal axes), with a = 4.3823 Å, b = 4.3823 Å, c = 13.5138 Å, α = 90.00°, β = 90.00° and γ = 120.00°. The inequivalent atoms are Tb at (0.0000, 0.0000, 0.0000), Hf at (0.0000, 0.0000, 0.5000) and Ni at (0.0000, 0.0000, 0.2116).



## LaCdSbF2 (PBE-GGA)

Data for a geometry-optimized LaCdSbF2 structure.

The calculation puts the uncorrected formation energy at -2.022 eV per atom. Its crystal system is tetragonal.

It has space group P4/mmm (No. 123), with a = 4.4746 Å, b = 4.4746 Å, c = 7.0634 Å, α = 90.00°, β = 90.00° and γ = 90.00°. The inequivalent atoms are La at (0.0000, 0.0000, 0.0000), Cd at (0.0000, 0.0000, 0.5000), Sb at (0.5000, 0.5000, 0.5000) and F at (0.0000, 0.5000, 0.0000).



## CuSiSe2 (PBE-GGA)

Data for a geometry-optimized CuSiSe2 structure.

The calculation puts the uncorrected formation energy at -0.024 eV per atom. Its crystal system is monoclinic.

It has space group Cm (No. 8), with a = 13.9195 Å, b = 3.5585 Å, c = 3.6605 Å, α = 90.00°, β = 94.93° and γ = 90.00°. The inequivalent atoms are Cu at (0.0000, 0.0000, 0.0000), Si at (0.1403, 0.5000, 0.5701), Se at (0.1862, 0.0000, 0.1309) and Se at (0.4695, 0.0000, 0.4975).